Record 1
{"formula": "CdInBiBr6", "functional": "PBE", "state": "relaxed", "raw_formation_energy_ev_per_atom": -0.76, "dos_at_fermi_per_ev_cell": 0.00, "volume_a3_per_fu": 339, "cell": [[-0.1071, 6.8918, 2.5530], [-6.2848, -3.3310, -1.8527], [-1.3189, -5.0241, 13.5072]], "species": ["Cd", "Cd", "In", "In", "Bi", "Bi", "Br", "Br", "Br", "Br", "Br", "Br", "Br", "Br", "Br", "Br", "Br", "Br"], "fractional_positions": [[0.3333, 0.6667, 0.2500], [0.6667, 0.3333, 0.7500], [0.0000, 0.0000, 0.0000], [0.0000, 0.0000, 0.5000], [0.6667, 0.3333, 0.2500], [0.3333, 0.6667, 0.7500], [0.6315, 0.6393, 0.1364], [0.0078, 0.3685, 0.1364], [0.3685, 0.0078, 0.6364], [0.9922, 0.6315, 0.8636], [0.3607, 0.3685, 0.3636], [0.0078, 0.6393, 0.3636], [0.6393, 0.0078, 0.8636], [0.6315, 0.9922, 0.3636], [0.9922, 0.3607, 0.6364], [0.3607, 0.9922, 0.1364], [0.6393, 0.6315, 0.6364], [0.3685, 0.3607, 0.8636]]}


Record 2
{"formula": "Dy4Tm5Mg2", "functional": "PBE", "state": "relaxed", "polymorph_energy_mev_per_atom": 232, "dos_at_fermi_per_ev_cell": 18.52, "ef_ev_per_atom": 0.25, "volume_a3_per_fu": 338, "cell": [[-3.2915, 0.0936, 0.8032], [1.1919, -6.5924, 5.6519], [3.2773, 10.7306, 5.0287]], "species": ["Dy", "Dy", "Dy", "Dy", "Tm", "Tm", "Tm", "Tm", "Tm", "Mg", "Mg"], "fractional_positions": [[0.0000, 0.3186, 0.0000], [0.7328, 0.7328, 0.4656], [0.0000, 0.6814, 0.0000], [0.2672, 0.2672, 0.5344], [0.8609, 0.0567, 0.7217], [0.8609, 0.6651, 0.7217], [0.1391, 0.3349, 0.2783], [0.1391, 0.9433, 0.2783], [0.5000, 0.0000, 0.0000], [0.4010, 0.4010, 0.8021], [0.5990, 0.5990, 0.1979]]}


Record 3
{"formula": "BaB2OsO8", "functional": "PBE", "state": "relaxed", "raw_formation_energy_ev_per_atom": -1.77, "dos_at_fermi_per_ev_cell": 0.02, "volume_a3_per_fu": 152, "cell": [[4.6812, 0.0000, 0.0000], [-2.3406, 4.0541, 0.0000], [0.0000, 0.0000, 7.9936]], "species": ["Ba", "B", "B", "Os", "O", "O", "O", "O", "O", "O", "O", "O"], "fractional_positions": [[0.0000, 0.0000, 0.0000], [0.6667, 0.3333, 0.2915], [0.3333, 0.6667, 0.7085], [0.0000, 0.0000, 0.5000], [0.3333, 0.6667, 0.8809], [0.3504, 0.2914, 0.3635], [0.7086, 0.0590, 0.3635], [0.6667, 0.3333, 0.1191], [0.2914, 0.9410, 0.6365], [0.6496, 0.7086, 0.6365], [0.0590, 0.3504, 0.6365], [0.9410, 0.6496, 0.3635]]}


Record 4
{"formula": "NdCdAg", "functional": "PBE", "state": "relaxed", "dos_at_fermi_per_ev_cell": 1.30, "ef_ev_per_atom": -0.23, "volume_a3_per_fu": 74, "cell": [[-1.1624, 3.5745, -0.7025], [-1.1116, -1.0503, -3.5047], [-3.4788, -2.4079, 3.9110]], "species": ["Nd", "Ag", "Cd"], "fractional_positions": [[0.9490, 0.9490, 0.8981], [0.2698, 0.2698, 0.5397], [0.6311, 0.6311, 0.2623]]}


Record 5
{"formula": "Ac12Tb3Dy", "functional": "PBE", "state": "relaxed", "dos_at_fermi_per_ev_cell": 22.51, "ef_ev_per_atom": 0.03, "volume_a3_per_fu": 661, "cell": [[-4.0143, -3.7369, 0.2086], [3.6229, -3.8029, 1.5922], [-3.7540, 5.2034, 20.9697]], "species": ["Ac", "Ac", "Ac", "Ac", "Ac", "Ac", "Ac", "Ac", "Ac", "Ac", "Ac", "Ac", "Tb", "Tb", "Tb", "Dy"], "fractional_positions": [[0.5000, 0.5000, 0.0000], [0.5000, 0.5000, 0.2498], [0.5000, 0.5000, 0.5000], [0.5000, 0.5000, 0.7502], [0.5000, 0.0000, 0.1247], [0.5000, 0.0000, 0.3748], [0.5000, 0.0000, 0.6252], [0.5000, 0.0000, 0.8753], [0.0000, 0.5000, 0.1247], [0.0000, 0.5000, 0.3748], [0.0000, 0.5000, 0.6252], [0.0000, 0.5000, 0.8753], [0.0000, 0.0000, 0.2497], [0.0000, 0.0000, 0.5000], [0.0000, 0.0000, 0.7503], [0.0000, 0.0000, 0.0000]]}


Record 6
{"formula": "MnBeSb2", "functional": "PBE", "state": "relaxed", "raw_formation_energy_ev_per_atom": 0.14, "dos_at_fermi_per_ev_cell": 1.71, "volume_a3_per_fu": 70, "cell": [[-3.4518, 1.2961, -0.2071], [-0.9699, -2.1196, 2.9013], [0.7450, 2.7226, 4.6225]], "species": ["Sb", "Sb", "Mn", "Be"], "fractional_positions": [[0.0000, 0.9726, 0.9312], [0.5000, 0.2578, 0.3583], [0.5000, 0.5573, 0.7606], [0.0000, 0.7124, 0.4499]]}


Record 7
{"formula": "Cs3Tl2Pd4", "functional": "PBE", "state": "relaxed", "dos_at_fermi_per_ev_cell": 4.62, "ef_ev_per_atom": -0.11, "volume_a3_per_fu": 292, "cell": [[4.7136, 0.0000, 0.0000], [-2.3568, 6.3986, -1.8540], [0.0000, -0.2785, 9.7538]], "species": ["Cs", "Cs", "Cs", "Tl", "Tl", "Pd", "Pd", "Pd", "Pd"], "fractional_positions": [[0.3684, 0.7368, 0.6288], [0.0000, 0.0000, 0.0000], [0.6316, 0.2632, 0.3712], [0.3352, 0.6704, 0.2240], [0.6648, 0.3296, 0.7760], [0.7645, 0.5289, 0.0805], [0.0799, 0.1598, 0.6325], [0.9201, 0.8402, 0.3675], [0.2355, 0.4711, 0.9195]]}


Record 8
{"formula": "Fe2MoOs2", "functional": "PBE", "state": "relaxed", "polymorph_energy_mev_per_atom": 357, "dos_at_fermi_per_ev_cell": 4.46, "ef_ev_per_atom": 0.51, "volume_a3_per_fu": 71, "cell": [[3.7252, 0.0000, 0.0000], [0.0000, 3.7252, 0.0000], [1.8626, 1.8626, 5.0982]], "species": ["Mo", "Os", "Os", "Fe", "Fe"], "fractional_positions": [[0.0000, 0.0000, 0.0000], [0.7500, 0.2500, 0.5000], [0.2500, 0.7500, 0.5000], [0.4003, 0.4003, 0.1994], [0.5997, 0.5997, 0.8006]]}


Record 9
{"formula": "MgCuAsO4", "functional": "PBE", "state": "relaxed", "raw_formation_energy_ev_per_atom": -1.42, "dos_at_fermi_per_ev_cell": 1.99, "volume_a3_per_fu": 77, "cell": [[-4.2543, 0.1875, -3.9125], [-0.1283, -4.1079, -4.3310], [-4.5423, -3.8451, 0.4811]], "species": ["Mg", "Mg", "Cu", "Cu", "As", "As", "O", "O", "O", "O", "O", "O", "O", "O"], "fractional_positions": [[0.0000, 0.0000, 0.0000], [0.0000, 0.5000, 0.5000], [0.5000, 0.0000, 0.5000], [0.0000, 0.0000, 0.5000], [0.6266, 0.6234, 0.1234], [0.3734, 0.3766, 0.8766], [0.7423, 0.7307, 0.7848], [0.2577, 0.7152, 0.7693], [0.7423, 0.2848, 0.2307], [0.2577, 0.2693, 0.2152], [0.2475, 0.7518, 0.2518], [0.7489, 0.7518, 0.2518], [0.2511, 0.2482, 0.7482], [0.7525, 0.2482, 0.7482]]}


Record 10
{"formula": "GaHgB", "functional": "PBE", "state": "relaxed", "dos_at_fermi_per_ev_cell": 1.83, "ef_ev_per_atom": 0.62, "volume_a3_per_fu": 60, "cell": [[-3.5205, -1.9984, -1.0879], [3.7162, -1.4482, -1.2898], [0.5172, -4.4296, 6.4636]], "species": ["B", "B", "Hg", "Hg", "Ga", "Ga"], "fractional_positions": [[0.0000, 0.0000, 0.2500], [0.0000, 0.0000, 0.7500], [0.3333, 0.6667, 0.2500], [0.6667, 0.3333, 0.7500], [0.0000, 0.0000, 0.0000], [0.0000, 0.0000, 0.5000]]}


Record 11
{"formula": "Nd3Sm4Tm5", "functional": "PBE", "state": "relaxed", "polymorph_energy_mev_per_atom": 208, "dos_at_fermi_per_ev_cell": 18.70, "ef_ev_per_atom": 0.23, "volume_a3_per_fu": 399, "cell": [[5.9532, 0.0000, 0.0000], [2.9766, 7.5650, -2.6362], [2.9766, -0.8907, 9.1761]], "species": ["Nd", "Nd", "Nd", "Sm", "Sm", "Sm", "Sm", "Tm", "Tm", "Tm", "Tm", "Tm"], "fractional_positions": [[0.5252, 0.6861, 0.2636], [0.0000, 0.5000, 0.5000], [0.4748, 0.3139, 0.7364], [0.8615, 0.2229, 0.0542], [0.1726, 0.0368, 0.6179], [0.8274, 0.9632, 0.3821], [0.1385, 0.7771, 0.9458], [0.6265, 0.9443, 0.8028], [0.5000, 0.5000, 0.5000], [0.2134, 0.4576, 0.1156], [0.7866, 0.5424, 0.8844], [0.3735, 0.0557, 0.1972]]}


Record 12
{"formula": "Tb2Pr7Y3", "functional": "PBE", "state": "relaxed", "dos_at_fermi_per_ev_cell": 18.10, "ef_ev_per_atom": 0.09, "volume_a3_per_fu": 418, "cell": [[3.6601, 0.0000, 0.0000], [0.0000, 5.9445, 0.2588], [0.0000, -2.0779, 19.1170]], "species": ["Tb", "Tb", "Pr", "Pr", "Pr", "Pr", "Pr", "Pr", "Pr", "Y", "Y", "Y"], "fractional_positions": [[0.5000, 0.7057, 0.2980], [0.5000, 0.2943, 0.7020], [0.5000, 0.7419, 0.4651], [0.5000, 0.2581, 0.5349], [0.0000, 0.6744, 0.1458], [0.0000, 0.0000, 0.0000], [0.0000, 0.3256, 0.8542], [0.5000, 0.8233, 0.8161], [0.5000, 0.1767, 0.1839], [0.5000, 0.5000, 0.0000], [0.0000, 0.2164, 0.3670], [0.0000, 0.7836, 0.6330]]}